Here is crystalline PaTcNiO6 at its relaxed geometry from the Alexandria database. Energies are from PBE+U.

Cell: 5.443 5.443 8.740 Å, 90.00 90.00 120.00°
Each line ends with the local moment (μB).
Sites, in units of the cell vectors:
O1 0.028 0.673 0.871  0.06
O2 0.972 0.645 0.371  0.06
O3 0.673 0.645 0.129  0.06
O4 0.327 0.355 0.871  0.06
O5 0.645 0.673 0.629  0.06
O6 0.327 0.972 0.629  0.06
O7 0.972 0.327 0.129  0.06
O8 0.673 0.028 0.371  0.06
O9 0.355 0.028 0.129  0.06
O10 0.355 0.327 0.371  0.06
O11 0.645 0.972 0.871  0.06
O12 0.028 0.355 0.629  0.06
Ni1 0.000 0.000 0.500  1.82
Ni2 0.000 0.000 0.000  1.82
Tc1 0.667 0.333 0.250  1.48
Tc2 0.333 0.667 0.750  1.48
Pa1 0.667 0.333 0.750  0.16
Pa2 0.333 0.667 0.250  0.16

Results
The total energy is -7.796 eV per atom. The value obtained for the total magnetization is 4.01 μB/f.u. The theoretical density is 7165 kg/m3. Its crystal system is trigonal. The value obtained for the density of states at the Fermi level is 9.555 states/eV/cell.